one.
# CdOsF2, relaxed, DFT PBE-GGA
# - Fermi-level density of states (states/eV/cell) = 8.83
data_CdOsF2
_cell_length_a 2.7861
_cell_length_b 2.7861
_cell_length_c 26.5069
_cell_angle_alpha 90.00
_cell_angle_beta 90.00
_cell_angle_gamma 120.00
_symmetry_space_group_name_H-M 'R -3 m'
_symmetry_Int_Tables_number 166
_symmetry_space_group_name_Hall '-R 3 2"'
loop_
_atom_site_label
_atom_site_type_symbol
_atom_site_fract_x
_atom_site_fract_y
_atom_site_fract_z
_atom_site_occupancy
Cd1 Cd 0.0000 0.0000 0.0000 1
Os1 Os 0.0000 0.0000 0.5000 1
F1 F 0.0000 0.0000 0.4272 1

***

two.
# CdOsF2, relaxed, DFT PBE-GGA
# - Fermi-level density of states (states/eV/cell) = 9.56
data_CdOsF2
_cell_length_a 2.7463
_cell_length_b 2.7463
_cell_length_c 26.0948
_cell_angle_alpha 90.00
_cell_angle_beta 90.00
_cell_angle_gamma 120.00
_symmetry_space_group_name_H-M 'R -3 m'
_symmetry_Int_Tables_number 166
_symmetry_space_group_name_Hall '-R 3 2"'
loop_
_atom_site_label
_atom_site_type_symbol
_atom_site_fract_x
_atom_site_fract_y
_atom_site_fract_z
_atom_site_occupancy
Cd1 Cd 0.0000 0.0000 0.0000 1
Os1 Os 0.0000 0.0000 0.5000 1
F1 F 0.0000 0.0000 0.0943 1

***

Stability check: which of them is least stable? two.

***

one.
# CdOsF2, relaxed, DFT PBE-GGA
# - Fermi-level density of states (states/eV/cell) = 15.36
data_CdOsF2
_cell_length_a 6.427
_cell_length_b 6.427
_cell_length_c 5.582
_cell_angle_alpha 90.00
_cell_angle_beta 90.00
_cell_angle_gamma 90.00
_symmetry_space_group_name_H-M 'I -4 2 d'
_symmetry_Int_Tables_number 122
_symmetry_space_group_name_Hall 'I -4 2bw'
loop_
_atom_site_label
_atom_site_type_symbol
_atom_site_fract_x
_atom_site_fract_y
_atom_site_fract_z
_atom_site_occupancy
Cd1 Cd 0.000 0.000 0.000 1
Os1 Os 0.000 0.000 0.500 1
F1 F 0.197 0.750 0.625 1

***

two.
# CdOsF2, relaxed, DFT PBE-GGA
# - Fermi-level density of states (states/eV/cell) = 5.05
data_CdOsF2
_cell_length_a 6.155
_cell_length_b 6.155
_cell_length_c 6.155
_cell_angle_alpha 90.00
_cell_angle_beta 90.00
_cell_angle_gamma 90.00
_symmetry_space_group_name_H-M 'F m -3 m'
_symmetry_Int_Tables_number 225
_symmetry_space_group_name_Hall '-F 4 2 3'
loop_
_atom_site_label
_atom_site_type_symbol
_atom_site_fract_x
_atom_site_fract_y
_atom_site_fract_z
_atom_site_occupancy
Cd1 Cd 0.000 0.000 0.000 1
Os1 Os 0.000 0.000 0.500 1
F1 F 0.250 0.250 0.250 1

***

Stability check: which of them is least stable? two.

***

one.
# CdOsF3, relaxed, DFT PBE-GGA
# - Fermi-level density of states (states/eV/cell) = 6.39
data_CdOsF3
_cell_length_a 4.453
_cell_length_b 4.453
_cell_length_c 4.453
_cell_angle_alpha 90.00
_cell_angle_beta 90.00
_cell_angle_gamma 90.00
_symmetry_space_group_name_H-M 'P m -3 m'
_symmetry_Int_Tables_number 221
_symmetry_space_group_name_Hall '-P 4 2 3'
loop_
_atom_site_label
_atom_site_type_symbol
_atom_site_fract_x
_atom_site_fract_y
_atom_site_fract_z
_atom_site_occupancy
Cd1 Cd 0.000 0.000 0.000 1
Os1 Os 0.500 0.500 0.500 1
F1 F 0.000 0.000 0.500 1

***

two.
# CdOsF3, relaxed, DFT PBE-GGA
# - Fermi-level density of states (states/eV/cell) = 4.52
data_CdOsF3
_cell_length_a 4.246
_cell_length_b 4.246
_cell_length_c 4.246
_cell_angle_alpha 90.00
_cell_angle_beta 90.00
_cell_angle_gamma 90.00
_symmetry_space_group_name_H-M 'P m -3 m'
_symmetry_Int_Tables_number 221
_symmetry_space_group_name_Hall '-P 4 2 3'
loop_
_atom_site_label
_atom_site_type_symbol
_atom_site_fract_x
_atom_site_fract_y
_atom_site_fract_z
_atom_site_occupancy
Cd1 Cd 0.000 0.000 0.000 1
Os1 Os 0.500 0.500 0.500 1
F1 F 0.000 0.500 0.500 1

***

Stability check: which of them is least stable? one.

***

one.
# CdOs3F, relaxed, DFT PBE-GGA
# - Fermi-level density of states (states/eV/cell) = 7.64
data_CdOs3F
_cell_length_a 5.007
_cell_length_b 5.007
_cell_length_c 5.007
_cell_angle_alpha 90.00
_cell_angle_beta 90.00
_cell_angle_gamma 90.00
_symmetry_space_group_name_H-M 'P m -3 m'
_symmetry_Int_Tables_number 221
_symmetry_space_group_name_Hall '-P 4 2 3'
loop_
_atom_site_label
_atom_site_type_symbol
_atom_site_fract_x
_atom_site_fract_y
_atom_site_fract_z
_atom_site_occupancy
Cd1 Cd 0.000 0.000 0.000 1
Os1 Os 0.000 0.000 0.500 1
F1 F 0.500 0.500 0.500 1

***

two.
# CdOs3F, relaxed, DFT PBE-GGA
# - Fermi-level density of states (states/eV/cell) = 7.63
data_CdOs3F
_cell_length_a 4.283
_cell_length_b 4.283
_cell_length_c 4.283
_cell_angle_alpha 90.00
_cell_angle_beta 90.00
_cell_angle_gamma 90.00
_symmetry_space_group_name_H-M 'P m -3 m'
_symmetry_Int_Tables_number 221
_symmetry_space_group_name_Hall '-P 4 2 3'
loop_
_atom_site_label
_atom_site_type_symbol
_atom_site_fract_x
_atom_site_fract_y
_atom_site_fract_z
_atom_site_occupancy
Cd1 Cd 0.000 0.000 0.000 1
Os1 Os 0.000 0.500 0.500 1
F1 F 0.500 0.500 0.500 1

***

Stability check: which of them is least stable? one.

***

one.
# Cd3OsF, relaxed, DFT PBE-GGA
# - Fermi-level density of states (states/eV/cell) = 6.85
data_Cd3OsF
_cell_length_a 5.261
_cell_length_b 5.261
_cell_length_c 5.261
_cell_angle_alpha 90.00
_cell_angle_beta 90.00
_cell_angle_gamma 90.00
_symmetry_space_group_name_H-M 'P m -3 m'
_symmetry_Int_Tables_number 221
_symmetry_space_group_name_Hall '-P 4 2 3'
loop_
_atom_site_label
_atom_site_type_symbol
_atom_site_fract_x
_atom_site_fract_y
_atom_site_fract_z
_atom_site_occupancy
Cd1 Cd 0.000 0.000 0.500 1
Os1 Os 0.000 0.000 0.000 1
F1 F 0.500 0.500 0.500 1

***

two.
# Cd3OsF, relaxed, DFT PBE-GGA
# - Fermi-level density of states (states/eV/cell) = 0.86
data_Cd3OsF
_cell_length_a 4.535
_cell_length_b 4.535
_cell_length_c 4.535
_cell_angle_alpha 90.00
_cell_angle_beta 90.00
_cell_angle_gamma 90.00
_symmetry_space_group_name_H-M 'P m -3 m'
_symmetry_Int_Tables_number 221
_symmetry_space_group_name_Hall '-P 4 2 3'
loop_
_atom_site_label
_atom_site_type_symbol
_atom_site_fract_x
_atom_site_fract_y
_atom_site_fract_z
_atom_site_occupancy
Cd1 Cd 0.000 0.000 0.500 1
Os1 Os 0.500 0.500 0.500 1
F1 F 0.000 0.000 0.000 1

***

Stability check: which of them is least stable? one.